HW2F after structural relaxation. Source: the Alexandria database, functional PBE with a Hubbard U.

## Properties
* total DFT energy (no corrections): -4.3496 eV/atom
* excess energy over the best structure of this formula in the dataset: 0.0 meV/atom

Cell: 4.6526 4.6526 5.8873 Å, 66.73 66.73 90.00°
Closest atoms and distances in Å follow each position.
Positions (direct):
1 H 0.5000 0.5000 0.0000  4 W 1.90
2 H 0.2500 0.7500 0.5000  4 W 1.90
3 W 0.5638 0.1250 0.2500  2 H 1.90
4 W 0.1862 0.6250 0.2500  2 H 1.90
5 W 0.3750 0.4362 0.7500  2 H 1.90
6 W 0.8750 0.8138 0.7500  2 H 1.90
7 F 0.0000 0.0000 0.0000  4 W 2.22
8 F 0.7500 0.2500 0.5000  4 W 2.22